Below is an optimized crystal structure of UCrIrO6, with properties calculated at the GGA+U level.

Results
- E (eV per cell) = -150.15

Structure (CIF):
```
data_UCrIrO6
_chemical_formula_sum 'U2 Cr2 Ir2 O12'
_space_group_name_H-M_alt 'P -3 1 c'
_space_group_IT_number 163
_space_group_name_Hall '-P 3 2c'
_cell_length_a 5.2866
_cell_length_b 5.2866
_cell_length_c 8.7170
_cell_angle_alpha 90.00
_cell_angle_beta 90.00
_cell_angle_gamma 120.00
loop_
_atom_site_label
_atom_site_fract_x
_atom_site_fract_y
_atom_site_fract_z
U1 0.3333 0.6667 0.2500
Cr1 0.3333 0.6667 0.7500
Ir1 0.0000 0.0000 0.0000
O1 0.0103 0.3357 0.6268
```